FeOsCl | GGA-PBE | optimized geometry

Geometry as POSCAR:
```
FeOsCl
1.0
4.2253 0.0000 0.0000
-2.1127 3.6593 0.0000
0.0000 0.0000 2.7930
Fe Os Cl
1 1 1
direct
0.0000 0.0000 0.0000
0.6667 0.3333 0.5000
0.3333 0.6667 0.5000
```

Results
E = -6.23 eV/atom
calculated volume = 14.39 Å³/atom
E_form (uncorrected) = 947 meV/atom
energy relative to the lowest polymorph listed for this composition = 0.4628 eV/atom

=====

Cr2SbP | GGA-PBE | optimized geometry

Geometry as POSCAR:
```
Cr2SbP
1.0
-1.6146 1.6843 5.7483
1.6146 -1.6843 5.7483
1.6146 1.6843 -5.7483
Cr Sb P
2 1 1
direct
0.0000 0.0000 0.0000
0.7032 0.2032 0.5000
0.3912 0.3912 0.0000
0.1421 0.6421 0.5000
```

Results
E = -7.22 eV/atom
calculated volume = 15.63 Å³/atom
E_form (uncorrected) = -24 meV/atom

=====

RbTePd3 | GGA-PBE | optimized geometry

Geometry as POSCAR:
```
RbTePd3
1.0
5.1335 0.0000 0.0000
0.0000 5.1335 0.0000
0.0000 0.0000 5.1335
Rb Te Pd
1 1 3
direct
0.0000 0.0000 0.0000
0.5000 0.5000 0.5000
0.0000 0.5000 0.5000
0.5000 0.0000 0.5000
0.5000 0.5000 0.0000
```

Results
E = -4.01 eV/atom
calculated volume = 27.06 Å³/atom
E_form (uncorrected) = -70 meV/atom
energy relative to the lowest polymorph listed for this composition = 0.0000 eV/atom

=====

GaSiN | GGA-PBE | optimized geometry

Geometry as POSCAR:
```
GaSiN
1.0
2.8932 0.0000 0.0000
1.3210 4.3028 0.0000
0.2374 0.4120 7.8781
Ga Si N
2 2 2
direct
0.0000 0.0000 0.0000
0.3207 0.4515 0.1425
0.2809 0.5070 0.4531
0.5105 0.0346 0.6346
0.0011 0.0336 0.7533
0.6813 0.7140 0.5056
```

Results
E = -5.95 eV/atom
calculated volume = 16.35 Å³/atom
E_form (uncorrected) = -359 meV/atom
energy relative to the lowest polymorph listed for this composition = 0.0535 eV/atom

=====

SrSmNi4 | GGA-PBE | optimized geometry

Geometry as POSCAR:
```
SrSmNi4
1.0
0.0000 3.6683 3.6683
3.6683 0.0000 3.6683
3.6683 3.6683 0.0000
Sr Sm Ni
1 1 4
direct
0.0000 0.0000 0.0000
0.2500 0.2500 0.2500
0.1271 0.6243 0.6243
0.6243 0.1271 0.6243
0.6243 0.6243 0.1271
0.6243 0.6243 0.6243
```

Results
E = -5.08 eV/atom
E_form = -0.1571 eV/atom
calculated volume = 16.45 Å³/atom

=====

NpTaH5 | GGA-PBE | optimized geometry

Geometry as POSCAR:
```
NpTaH5
1.0
2.5367 -2.5357 0.0000
2.5367 2.5357 0.0000
-0.0275 0.0000 8.6657
Np Ta H
2 2 10
direct
0.0009 0.9991 0.7500
0.9991 0.0009 0.2500
0.5000 0.5000 0.0000
0.5000 0.5000 0.5000
0.0001 0.2513 0.5009
0.0005 0.5001 0.1086
0.9995 0.4999 0.8914
0.9999 0.7487 0.4991
0.2513 0.0001 0.0009
0.4999 0.9995 0.3914
0.5001 0.0005 0.6086
0.5000 0.5000 0.2500
0.5000 0.5000 0.7500
0.7487 0.9999 0.9991
```

Results
E = -5.99 eV/atom
calculated volume = 7.96 Å³/atom

=====

SrLa2InTc | GGA-PBE | optimized geometry

Geometry as POSCAR:
```
SrLa2InTc
1.0
5.4294 0.0000 0.0000
0.0000 5.4294 0.0000
0.0000 0.0000 5.5849
Sr La In Tc
1 2 1 1
direct
0.0000 0.0000 0.0000
0.0000 0.5000 0.5000
0.5000 0.0000 0.5000
0.5000 0.5000 0.0000
0.5000 0.5000 0.5000
```

Results
E = -5.03 eV/atom
E_form = -0.0978 eV/atom
calculated volume = 32.93 Å³/atom

=====

TaMnPt2Cl | GGA-PBE | optimized geometry

Geometry as POSCAR:
```
TaMnPt2Cl
1.0
4.8546 0.0000 0.0000
0.0000 4.8546 0.0000
0.0000 0.0000 5.2568
Ta Mn Pt Cl
1 1 2 1
direct
0.0000 0.0000 0.0000
0.0000 0.0000 0.5000
0.0000 0.5000 0.0000
0.5000 0.0000 0.0000
0.5000 0.5000 0.5000
```

Results
E = -5.91 eV/atom
calculated volume = 24.78 Å³/atom
E_form (uncorrected) = 1080 meV/atom

=====

Ce6GeBr8 | GGA-PBE | optimized geometry

Geometry as POSCAR:
```
Ce6GeBr8
1.0
3.6282 2.0948 10.6554
-3.6282 2.0948 10.6554
0.0000 -4.1895 10.6554
Ce Ge Br
6 1 8
direct
0.1180 0.4471 0.7764
0.2236 0.8820 0.5529
0.4471 0.7764 0.1180
0.5529 0.2236 0.8820
0.7764 0.1180 0.4471
0.8820 0.5529 0.2236
0.5000 0.5000 0.5000
0.0584 0.7209 0.3897
0.1667 0.1667 0.1667
0.2790 0.6103 0.9416
0.3897 0.0584 0.7209
0.6103 0.9416 0.2791
0.7209 0.3897 0.0584
0.8333 0.8333 0.8333
0.9416 0.2791 0.6103
```

Results
E = -5.00 eV/atom
calculated volume = 32.39 Å³/atom
E_form (uncorrected) = -1422 meV/atom

=====

K2PtSe | GGA-PBE | optimized geometry

Geometry as POSCAR:
```
K2PtSe
1.0
4.6487 0.0000 0.0000
0.0000 2.6213 5.2353
0.0000 -2.6213 5.2353
K Pt Se
2 1 1
direct
0.0000 0.0000 0.0000
0.5000 0.3003 0.3003
0.0000 0.6851 0.6851
0.5000 0.6171 0.6171
```

Results
E = -3.60 eV/atom
calculated volume = 31.90 Å³/atom
E_form (uncorrected) = -670 meV/atom

=====

Tb4Y3Ho5 | GGA-PBE | optimized geometry

Geometry as POSCAR:
```
Tb4Y3Ho5
1.0
6.1428 0.0000 0.0000
-0.0141 7.1012 0.0000
-0.0050 -0.0035 8.6823
Tb Y Ho
4 3 5
direct
0.1670 0.9998 0.1684
0.3322 0.2497 0.8334
0.6678 0.7503 0.1666
0.8330 0.0002 0.8316
0.3331 0.7495 0.8339
0.5000 0.5000 0.5000
0.6669 0.2505 0.1661
0.0008 0.2497 0.5006
0.1655 0.5006 0.1678
0.5000 0.0000 0.5000
0.8345 0.4994 0.8322
0.9992 0.7503 0.4994
```

Results
E = -5.05 eV/atom
E_form = 0.0198 eV/atom
calculated volume = 31.56 Å³/atom
energy relative to the lowest polymorph listed for this composition = 0.0000 eV/atom

=====

Ce6PmTl6 | GGA-PBE | optimized geometry

Geometry as POSCAR:
```
Ce6PmTl6
1.0
3.0305 -5.7921 0.0000
3.0305 5.7921 0.0000
0.0000 0.0000 11.0938
Ce Pm Tl
6 1 6
direct
0.0000 0.0000 0.2188
0.0000 0.0000 0.7812
0.0000 0.5000 0.2587
0.0000 0.5000 0.7413
0.5000 0.0000 0.2587
0.5000 0.0000 0.7413
0.5000 0.5000 0.0000
0.1340 0.8660 0.5000
0.1881 0.8119 0.0000
0.5000 0.5000 0.3316
0.5000 0.5000 0.6684
0.8119 0.1881 0.0000
0.8660 0.1340 0.5000
```

Results
E = -4.24 eV/atom
E_form = -0.0445 eV/atom
calculated volume = 29.96 Å³/atom